1.
Material: Li2W
Method: DFT, PBE-GGA
State: relaxed

a = 4.7638 Å, b = 4.7638 Å, c = 4.7638 Å
α = 60.00°, β = 60.00°, γ = 60.00°
Last column: nearest neighbours and their distance in Å.
Fractional coordinates of all 6 atoms:
Li1 0.1250 0.6250 0.6250  6 Li 2.38
Li2 0.6250 0.1250 0.6250  6 Li 2.38
Li3 0.6250 0.6250 0.1250  6 Li 2.38
Li4 0.6250 0.6250 0.6250  6 Li 2.38
W1 0.0000 0.0000 0.0000  12 Li 2.79, 4 W 2.92
W2 0.2500 0.2500 0.2500  12 Li 2.79, 4 W 2.92

## Properties
Magnetization: 0.00 μB per atom
E: -4.978 eV/atom

2.
Material: DySb
Method: DFT, PBE-GGA
State: relaxed

a = 6.4226 Å, b = 5.9572 Å, c = 5.9395 Å
α = 90.00°, β = 90.00°, γ = 90.00°
Last column: nearest neighbours and their distance in Å.
Fractional coordinates of all 8 atoms:
Sb1 0.7500 0.0000 0.6799  2 Dy 2.94-3.00
Sb2 0.7500 0.5000 0.0203  6 Dy 3.14-3.48, 2 Sb 3.22
Sb3 0.2500 0.5000 0.9797  6 Dy 3.14-3.48, 2 Sb 3.22
Sb4 0.2500 0.0000 0.3201  2 Dy 2.94-3.00
Dy1 0.7500 0.0000 0.1857  4 Sb 2.94-3.14
Dy2 0.2500 0.0000 0.8143  4 Sb 2.94-3.14
Dy3 0.5000 0.5000 0.5000  2 Dy 3.21, 8 Sb 3.27-3.55
Dy4 0.0000 0.5000 0.5000  2 Dy 3.21, 8 Sb 3.27-3.55

## Properties
Magnetization: 0.00 μB per atom
E: -5.099 eV/atom

3.
Material: Zr2Cu2Si2AsP
Method: DFT, PBE-GGA
State: relaxed

a = 3.6302 Å, b = 3.6302 Å, c = 9.6034 Å
α = 90.00°, β = 90.00°, γ = 90.00°
Last column: nearest neighbours and their distance in Å.
Fractional coordinates of all 8 atoms:
P1 0.5000 0.5000 0.6741  4 Cu 2.42
As1 0.0000 0.0000 0.3238  4 Cu 2.53, 4 Zr 2.75
Cu1 0.0000 0.5000 0.5078  2 P 2.42, 2 As 2.53, 4 Cu 2.57
Cu2 0.5000 0.0000 0.5078  2 P 2.42, 2 As 2.53, 4 Cu 2.57
Zr1 0.5000 0.5000 0.2217  4 As 2.75, 4 Si 2.82
Zr2 0.0000 0.0000 0.7714  4 P 2.73, 4 Si 2.82
Si1 0.5000 0.0000 0.9967  4 Si 2.57, 4 Zr 2.82
Si2 0.0000 0.5000 0.9967  4 Si 2.57, 4 Zr 2.82

## Properties
Magnetization: 0.00 μB per atom
E: -6.345 eV/atom

4.
Material: GdTeAsO
Method: DFT, PBE-GGA
State: relaxed

a = 4.0923 Å, b = 4.0923 Å, c = 10.5942 Å
α = 90.00°, β = 90.00°, γ = 90.00°
Last column: nearest neighbours and their distance in Å.
Fractional coordinates of all 8 atoms:
Te1 0.5000 0.5000 0.5000  4 Te 2.89, 4 As 3.19
Te2 0.0000 0.0000 0.5000  4 Te 2.89, 4 As 3.19
Gd1 0.0000 0.5000 0.9006  4 O 2.30
Gd2 0.5000 0.0000 0.0994  4 O 2.30
As1 0.0000 0.5000 0.2690  4 Te 3.19, 4 Gd 3.41, 4 O 3.51
As2 0.5000 0.0000 0.7310  4 Te 3.19, 4 Gd 3.41, 4 O 3.51
O1 0.5000 0.5000 0.0000  4 Gd 2.30
O2 0.0000 0.0000 0.0000  4 Gd 2.30

## Properties
Energy relative to the lowest polymorph listed for this composition: 0.0001 eV/atom
Magnetization: 0.00 μB per atom
E: -5.658 eV/atom

5.
Material: AlAgSO
Method: DFT, PBE-GGA
State: relaxed

a = 3.6398 Å, b = 3.6398 Å, c = 8.7717 Å
α = 90.00°, β = 90.00°, γ = 90.00°
Last column: nearest neighbours and their distance in Å.
Fractional coordinates of all 8 atoms:
O1 0.2500 0.7500 0.0000  4 Al 1.97
O2 0.7500 0.2500 0.0000  4 Al 1.97
Al1 0.2500 0.2500 0.0861  4 O 1.97
Al2 0.7500 0.7500 0.9139  4 O 1.97
Ag1 0.7500 0.2500 0.5000  4 Ag 2.57, 4 S 2.68
Ag2 0.2500 0.7500 0.5000  4 Ag 2.57, 4 S 2.68
S1 0.7500 0.7500 0.2754  4 Ag 2.68
S2 0.2500 0.2500 0.7246  4 Ag 2.68

## Properties
Energy relative to the lowest polymorph listed for this composition: 0.4074 eV/atom
E: -4.858 eV/atom

6.
Material: Ge2IrPb
Method: DFT, PBE-GGA
State: relaxed

a = 4.7885 Å, b = 4.7885 Å, c = 4.7885 Å
α = 60.00°, β = 60.00°, γ = 60.00°
Last column: nearest neighbours and their distance in Å.
Fractional coordinates of all 4 atoms:
Pb1 0.5000 0.5000 0.5000  4 Ir 2.93, 4 Ge 2.93
Ir1 0.2500 0.2500 0.2500  4 Pb 2.93, 4 Ge 2.93
Ge1 0.7500 0.7500 0.7500  4 Pb 2.93, 4 Ge 2.93
Ge2 0.0000 0.0000 0.0000  4 Ir 2.93, 4 Ge 2.93

## Properties
Magnetization: 0.00 μB per atom
E: -5.033 eV/atom